# 1
Below is a geometry-optimized MnMoW2 structure, with properties calculated at the PBE-GGA level.

abc: 4.4050 4.4050 4.4050
angles: 60.00 60.00 60.00
Last column: nearest neighbours and their distance in Å.
Fractional coordinates of all 4 atoms:
Mn 0.0000 0.0000 0.0000  4 W 2.70, 4 Mo 2.70
Mo 0.2500 0.2500 0.2500  4 W 2.70, 4 Mn 2.70
W 0.5000 0.5000 0.5000  4 Mo 2.70, 4 W 2.70
W 0.7500 0.7500 0.7500  4 W 2.70, 4 Mn 2.70

Calculated values
The calculation puts the formation energy from the elements at 0.1211 eV per atom. As for the excess energy over the best structure of this formula in the dataset: 0.256 eV per formula unit.

# 2
Below is a geometry-optimized Mn2MoW structure, with properties calculated at the PBE-GGA level.

abc: 4.9964 4.9964 4.9964
angles: 144.44 129.49 63.29
Last column: nearest neighbours and their distance in Å.
Fractional coordinates of all 4 atoms:
Mn 0.0000 0.0000 0.0000  2 Mo 2.60, 2 Mn 2.62, 4 W 2.62
Mn 0.7502 0.2502 0.5000  2 W 2.61, 2 Mn 2.62, 4 Mo 2.62
Mo 0.2468 0.7468 0.5000  6 Mn 2.60-2.62, 2 W 2.64
W 0.5007 0.5007 0.0000  6 Mn 2.61-2.62, 2 Mo 2.64

Calculated values
The calculation puts the formation energy from the elements at 0.1456 eV per atom.

# 3
Below is a geometry-optimized MnMo3W structure, with properties calculated at the PBE-GGA level.

abc: 4.6996 4.6996 4.6996
angles: 90.00 90.00 90.00
Last column: nearest neighbours and their distance in Å.
Fractional coordinates of all 5 atoms:
Mn 0.0000 0.0000 0.0000  12 Mo 3.32
Mo 0.0000 0.5000 0.5000  2 W 2.35
Mo 0.5000 0.0000 0.5000  2 W 2.35
Mo 0.5000 0.5000 0.0000  2 W 2.35
W 0.5000 0.5000 0.5000  6 Mo 2.35

Calculated values
The calculation puts the formation energy from the elements at 2.2438 eV per atom. As for the excess energy over the best structure of this formula in the dataset: 5.062 eV per formula unit.

# 4
Below is a geometry-optimized Mn2MoW structure, with properties calculated at the PBE-GGA level.

abc: 8.6948 8.6948 8.6948
angles: 18.35 18.35 18.35
Last column: nearest neighbours and their distance in Å.
Fractional coordinates of all 4 atoms:
Mn 0.2495 0.2495 0.2495  3 Mo 2.66, 3 W 2.68, 6 Mn 2.77
Mn 0.7505 0.7505 0.7505  3 Mo 2.66, 3 W 2.68, 6 Mn 2.77
Mo 0.5000 0.5000 0.5000  6 Mn 2.66, 6 Mo 2.77
W 0.0000 0.0000 0.0000  6 Mn 2.68, 6 W 2.77

Calculated values
The calculation puts the formation energy from the elements at 0.3648 eV per atom.

# 5
Below is a geometry-optimized Mn2MoW structure, with properties calculated at the PBE-GGA level.

abc: 4.2249 4.2249 3.0379
angles: 90.00 90.00 90.00
Last column: nearest neighbours and their distance in Å.
Fractional coordinates of all 4 atoms:
Mn 0.0000 0.5000 0.0000  4 W 2.60, 4 Mo 2.60
Mn 0.5000 0.0000 0.0000  4 W 2.60, 4 Mo 2.60
Mo 0.0000 0.0000 0.5000  8 Mn 2.60
W 0.5000 0.5000 0.5000  8 Mn 2.60

Calculated values
The calculation puts the formation energy from the elements at 0.1501 eV per atom.

# 6
Below is a geometry-optimized MnMoW2 structure, with properties calculated at the PBE-GGA level.

abc: 2.7147 2.7147 8.6088
angles: 90.00 90.00 108.77
Last column: nearest neighbours and their distance in Å.
Fractional coordinates of all 4 atoms:
Mn 0.0000 0.0000 0.0000  4 W 2.58, 4 Mn 2.71
Mo 0.0000 0.0000 0.5000  4 Mo 2.71, 4 W 2.76
W 0.5000 0.5000 0.2368  2 Mn 2.58, 4 W 2.71, 2 Mo 2.76
W 0.5000 0.5000 0.7632  2 Mn 2.58, 4 W 2.71, 2 Mo 2.76

Calculated values
The calculation puts the formation energy from the elements at 0.0570 eV per atom. As for the excess energy over the best structure of this formula in the dataset: 0.000 eV per formula unit.

# 7
Below is a geometry-optimized MnMoW2 structure, with properties calculated at the PBE-GGA level.

abc: 2.6977 4.3982 5.1656
angles: 90.00 99.75 90.00
Last column: nearest neighbours and their distance in Å.
Fractional coordinates of all 4 atoms:
Mn 0.0000 0.0000 0.0000  4 W 2.67-2.71, 2 Mo 2.70, 2 Mn 2.70
Mo 0.7444 0.5000 0.2495  4 W 2.66-2.74, 2 Mn 2.70, 2 Mo 2.70
W 0.2500 0.5000 0.7575  2 Mo 2.66-2.74, 2 Mn 2.67, 4 W 2.70-2.71
W 0.5006 0.0000 0.5016  2 Mo 2.69, 2 Mn 2.70-2.71, 4 W 2.70-2.71

Calculated values
The calculation puts the formation energy from the elements at 0.1021 eV per atom. As for the excess energy over the best structure of this formula in the dataset: 0.180 eV per formula unit.

# 8
Below is a geometry-optimized YMn2Mo2 structure, with properties calculated at the PBE-GGA level.

abc: 5.7723 5.7723 5.7723
angles: 137.16 137.16 62.20
Last column: nearest neighbours and their distance in Å.
Fractional coordinates of all 5 atoms:
Y 0.0000 0.0000 0.0000  8 Mn 3.25, 10 Mo 3.26-3.62
Mn 0.2500 0.7500 0.5000  4 Mo 2.40
Mn 0.7500 0.2500 0.5000  4 Mo 2.40
Mo 0.3658 0.3658 0.0000  4 Mn 2.40, 1 Mo 2.65
Mo 0.6342 0.6342 0.0000  4 Mn 2.40, 1 Mo 2.65

Calculated values
The calculation puts the formation energy from the elements at 0.2911 eV per atom. As for the excess energy over the best structure of this formula in the dataset: 0.000 eV per formula unit.

# 9
Below is a geometry-optimized Y3MnMo structure, with properties calculated at the PBE-GGA level.

abc: 5.1135 5.1135 5.1135
angles: 90.00 90.00 90.00
Last column: nearest neighbours and their distance in Å.
Fractional coordinates of all 5 atoms:
Y 0.0000 0.0000 0.5000  2 Mn 2.56
Y 0.0000 0.5000 0.0000  2 Mn 2.56
Y 0.5000 0.0000 0.0000  2 Mn 2.56
Mn 0.0000 0.0000 0.0000  6 Y 2.56
Mo 0.5000 0.5000 0.5000  12 Y 3.62

Calculated values
The calculation puts the formation energy from the elements at 0.8131 eV per atom. As for the excess energy over the best structure of this formula in the dataset: 0.000 eV per formula unit.

# 10
Below is a geometry-optimized YMnMo structure, with properties calculated at the PBE-GGA level.

abc: 4.6901 4.6901 4.6901
angles: 60.00 60.00 60.00
Last column: nearest neighbours and their distance in Å.
Fractional coordinates of all 3 atoms:
Y 0.0000 0.0000 0.0000  4 Mn 2.87, 4 Mo 2.87
Mn 0.7500 0.7500 0.7500  4 Y 2.87
Mo 0.2500 0.2500 0.2500  4 Y 2.87

Calculated values
The calculation puts the formation energy from the elements at 1.6192 eV per atom. As for the excess energy over the best structure of this formula in the dataset: 4.094 eV per formula unit.

# 11
Below is a geometry-optimized Y2Mn2Mo structure, with properties calculated at the PBE-GGA level.

abc: 6.3129 6.3129 4.7916
angles: 90.00 90.00 90.00
Last column: nearest neighbours and their distance in Å.
Fractional coordinates of all 10 atoms:
Y 0.1808 0.3192 0.0000  6 Mn 2.97-3.09, 5 Y 3.23-3.28
Y 0.3192 0.8192 0.0000  6 Mn 2.97-3.09, 5 Y 3.23-3.28
Y 0.6808 0.1808 0.0000  6 Mn 2.97-3.09, 5 Y 3.23-3.28
Y 0.8192 0.6808 0.0000  6 Mn 2.97-3.09, 5 Y 3.23-3.28
Mn 0.1221 0.6221 0.5000  1 Mn 2.18
Mn 0.3779 0.1221 0.5000  1 Mn 2.18
Mn 0.6221 0.8779 0.5000  1 Mn 2.18
Mn 0.8779 0.3779 0.5000  1 Mn 2.18
Mo 0.0000 0.0000 0.5000  4 Mn 2.51
Mo 0.5000 0.5000 0.5000  4 Mn 2.51

Calculated values
The calculation puts the formation energy from the elements at 0.2140 eV per atom.

# 12
Below is a geometry-optimized YMnMo structure, with properties calculated at the PBE-GGA level.

abc: 3.9360 3.9360 4.6151
angles: 90.00 90.00 120.00
Last column: nearest neighbours and their distance in Å.
Fractional coordinates of all 3 atoms:
Y 0.0000 0.0000 0.0000  6 Mn 3.24, 6 Mo 3.24
Mn 0.3333 0.6667 0.5000  3 Mo 2.27
Mo 0.6667 0.3333 0.5000  3 Mn 2.27

Calculated values
The calculation puts the formation energy from the elements at 0.3125 eV per atom. As for the excess energy over the best structure of this formula in the dataset: 0.174 eV per formula unit.

What did the tenth record say?
Below is a geometry-optimized YMnMo structure, with properties calculated at the PBE-GGA level.

abc: 4.6901 4.6901 4.6901
angles: 60.00 60.00 60.00
Last column: nearest neighbours and their distance in Å.
Fractional coordinates of all 3 atoms:
Y 0.0000 0.0000 0.0000  4 Mn 2.87, 4 Mo 2.87
Mn 0.7500 0.7500 0.7500  4 Y 2.87
Mo 0.2500 0.2500 0.2500  4 Y 2.87

Calculated values
The calculation puts the formation energy from the elements at 1.6192 eV per atom. As for the excess energy over the best structure of this formula in the dataset: 4.094 eV per formula unit.

> Among the records above, which one has the highest formation energy from the elements?

MnMo3W

> Which of these has the lowest formation energy from the elements?

number 6